First-principles (PBEsol) data for an optimized crystal structure of CdCuPS2, as listed in Alexandria.

Computed properties:
- Raw formation energy: 6.32 eV per formula unit
- Symmetry: P4/mmm, No. 123

Unit cell a=4.8994 b=4.8994 c=4.8524 alpha=90.00 beta=90.00 gamma=90.00
Last column: nearest neighbours and their distance in Å.
Sites, in units of the cell vectors:
Cd: 0.0000 0.0000 0.0000  2 P 2.43, 4 S 2.45
Cu: 0.5000 0.5000 0.5000  8 S 3.45, 4 P 3.46
P: 0.0000 0.0000 0.5000  2 Cd 2.43
S: 0.0000 0.5000 0.0000  2 Cd 2.45
S: 0.5000 0.0000 0.0000  2 Cd 2.45

First-principles (PBEsol) data for an optimized crystal structure of ZnSi4Hg, as listed in Alexandria.

Computed properties:
- Raw formation energy: 2.85 eV per formula unit
- Symmetry: F-43m, No. 216

Unit cell a=5.2152 b=5.2152 c=5.2152 alpha=60.00 beta=60.00 gamma=60.00
Last column: nearest neighbours and their distance in Å.
Sites, in units of the cell vectors:
Zn: 0.0000 0.0000 0.0000  12 Si 3.06, 4 Hg 3.19
Si: 0.1227 0.6258 0.6258  6 Si 2.59-2.62
Si: 0.6258 0.1227 0.6258  6 Si 2.59-2.62
Si: 0.6258 0.6258 0.1227  6 Si 2.59-2.62
Si: 0.6258 0.6258 0.6258  6 Si 2.59-2.62
Hg: 0.2500 0.2500 0.2500  12 Si 3.06, 4 Zn 3.19

First-principles (PBEsol) data for an optimized crystal structure of SrTa2Hg, as listed in Alexandria.

Computed properties:
- ΔE_f: 548 meV per atom
- Symmetry: C2/m, No. 12

Unit cell a=6.4209 b=6.4209 c=5.1017 alpha=113.11 beta=113.11 gamma=27.28
Last column: nearest neighbours and their distance in Å.
Sites, in units of the cell vectors:
Sr: 0.0000 0.0000 0.0000  4 Hg 2.97, 2 Sr 3.03
Ta: 0.2225 0.2225 0.7227  2 Hg 2.96, 6 Ta 3.03
Ta: 0.7775 0.7775 0.2773  2 Hg 2.96, 6 Ta 3.03
Hg: 0.5000 0.5000 0.5000  4 Ta 2.96, 4 Sr 2.97, 2 Hg 3.03

First-principles (PBEsol) data for an optimized crystal structure of CoTcNi2, as listed in Alexandria.

Computed properties:
- Relative energy among the computed polymorphs: 56 meV/atom
- ΔE_f: 63 meV per atom
- Symmetry: Pmmm, No. 47

Unit cell a=2.5011 b=3.6391 c=4.9380 alpha=90.00 beta=90.00 gamma=90.00
Last column: nearest neighbours and their distance in Å.
Sites, in units of the cell vectors:
Co: 0.0000 0.0000 0.0000  2 Tc 2.47, 2 Co 2.50, 8 Ni 2.52
Tc: 0.0000 0.0000 0.5000  2 Co 2.47, 2 Tc 2.50, 8 Ni 2.54
Ni: 0.5000 0.5000 0.2447  4 Ni 2.42-2.52, 4 Co 2.52, 4 Tc 2.54
Ni: 0.5000 0.5000 0.7553  4 Ni 2.42-2.52, 4 Co 2.52, 4 Tc 2.54

First-principles (PBEsol) data for an optimized crystal structure of KBH4, as listed in Alexandria.

Computed properties:
- Calculated total energy: -3.931 eV/atom
- Symmetry: F-43m, No. 216

Unit cell a=4.5939 b=4.5939 c=4.5939 alpha=60.00 beta=60.00 gamma=60.00
Last column: nearest neighbours and their distance in Å.
Sites, in units of the cell vectors:
K: 0.0000 0.0000 0.0000  12 H 2.73
B: 0.5000 0.5000 0.5000  4 H 1.23
H: 0.1712 0.6096 0.6096  1 B 1.23
H: 0.6096 0.1712 0.6096  1 B 1.23
H: 0.6096 0.6096 0.1712  1 B 1.23
H: 0.6096 0.6096 0.6096  1 B 1.23

First-principles (PBEsol) data for an optimized crystal structure of Er3Ga8Rh3, as listed in Alexandria.

Computed properties:
- ΔE_f: -746 meV per atom
- Symmetry: Immm, No. 71

Unit cell a=8.0056 b=8.0056 c=8.0056 alpha=150.24 beta=106.28 gamma=81.46
Last column: nearest neighbours and their distance in Å.
Sites, in units of the cell vectors:
Er: 0.0000 0.0000 0.0000  12 Ga 3.10-3.17, 4 Rh 3.38
Er: 0.3298 0.3298 0.0000  4 Rh 2.91-2.95, 8 Ga 2.98-3.09
Er: 0.6702 0.6702 0.0000  4 Rh 2.91-2.95, 8 Ga 2.98-3.09
Ga: 0.0405 0.6701 0.3704  4 Ga 2.49-2.64, 1 Rh 2.52
Ga: 0.1591 0.8764 0.2828  3 Rh 2.54-2.57, 3 Ga 2.59-2.64
Ga: 0.2998 0.6701 0.6296  4 Ga 2.49-2.64, 1 Rh 2.52
Ga: 0.4064 0.1236 0.2828  3 Rh 2.54-2.57, 3 Ga 2.59-2.64
Ga: 0.5936 0.8764 0.7172  3 Rh 2.54-2.57, 3 Ga 2.59-2.64
Ga: 0.7002 0.3299 0.3704  4 Ga 2.49-2.64, 1 Rh 2.52
Ga: 0.8409 0.1236 0.7172  3 Rh 2.54-2.57, 3 Ga 2.59-2.64
Ga: 0.9595 0.3299 0.6296  4 Ga 2.49-2.64, 1 Rh 2.52
Rh: 0.2800 0.5000 0.7800  6 Ga 2.52-2.54
Rh: 0.5000 0.0000 0.5000  4 Ga 2.57
Rh: 0.7200 0.5000 0.2200  6 Ga 2.52-2.54

First-principles (PBEsol) data for an optimized crystal structure of Hf2GeP, as listed in Alexandria.

Computed properties:
- ΔE_f: -559 meV per atom
- Symmetry: Fm-3m, No. 225

Unit cell a=4.5937 b=4.5937 c=4.5937 alpha=60.00 beta=60.00 gamma=60.00
Last column: nearest neighbours and their distance in Å.
Sites, in units of the cell vectors:
Hf: 0.2500 0.2500 0.2500  4 Ge 2.81, 4 P 2.81
Hf: 0.7500 0.7500 0.7500  4 Ge 2.81, 4 P 2.81
Ge: 0.0000 0.0000 0.0000  8 Hf 2.81
P: 0.5000 0.5000 0.5000  8 Hf 2.81

First-principles (PBEsol) data for an optimized crystal structure of PbWS2Cl, as listed in Alexandria.

Computed properties:
- Raw formation energy: 6.95 eV per formula unit
- Symmetry: P4/mmm, No. 123

Unit cell a=5.1077 b=5.1077 c=5.0251 alpha=90.00 beta=90.00 gamma=90.00
Last column: nearest neighbours and their distance in Å.
Sites, in units of the cell vectors:
Pb: 0.0000 0.0000 0.0000  2 Cl 2.51, 4 S 2.55
W: 0.5000 0.5000 0.5000  8 S 3.58, 4 Cl 3.61
S: 0.0000 0.5000 0.0000  2 Pb 2.55
S: 0.5000 0.0000 0.0000  2 Pb 2.55
Cl: 0.0000 0.0000 0.5000  2 Pb 2.51

First-principles (PBEsol) data for an optimized crystal structure of Y3MgS, as listed in Alexandria.

Computed properties:
- Raw formation energy: 2.69 eV per formula unit
- Symmetry: Pm-3m, No. 221

Unit cell a=5.4129 b=5.4129 c=5.4129 alpha=90.00 beta=90.00 gamma=90.00
Last column: nearest neighbours and their distance in Å.
Sites, in units of the cell vectors:
Y: 0.0000 0.0000 0.5000  2 Mg 2.71
Y: 0.0000 0.5000 0.0000  2 Mg 2.71
Y: 0.5000 0.0000 0.0000  2 Mg 2.71
Mg: 0.0000 0.0000 0.0000  6 Y 2.71
S: 0.5000 0.5000 0.5000  12 Y 3.83

First-principles (PBEsol) data for an optimized crystal structure of Zr3P, as listed in Alexandria.

Computed properties:
- Relative energy among the computed polymorphs: 26 meV/atom
- ΔE_f: -903 meV per atom
- Symmetry: Pnma, No. 62

Unit cell a=6.7912 b=8.2935 c=5.4354 alpha=90.00 beta=90.00 gamma=90.00
Last column: nearest neighbours and their distance in Å.
Sites, in units of the cell vectors:
Zr: 0.0228 0.2500 0.1149  3 P 2.73-3.00
Zr: 0.1881 0.0438 0.6355  3 P 2.66-2.78, 2 Zr 2.94
Zr: 0.1881 0.4562 0.6355  3 P 2.66-2.78, 2 Zr 2.94
Zr: 0.3119 0.5438 0.1355  3 P 2.66-2.78, 2 Zr 2.94
Zr: 0.3119 0.9562 0.1355  3 P 2.66-2.78, 2 Zr 2.94
Zr: 0.4772 0.7500 0.6149  3 P 2.73-3.00
Zr: 0.5228 0.2500 0.3851  3 P 2.73-3.00
Zr: 0.6881 0.0438 0.8645  3 P 2.66-2.78, 2 Zr 2.94
Zr: 0.6881 0.4562 0.8645  3 P 2.66-2.78, 2 Zr 2.94
Zr: 0.8119 0.5438 0.3645  3 P 2.66-2.78, 2 Zr 2.94
Zr: 0.8119 0.9562 0.3645  3 P 2.66-2.78, 2 Zr 2.94
Zr: 0.9772 0.7500 0.8851  3 P 2.73-3.00
P: 0.1097 0.7500 0.4117  8 Zr 2.66-2.78
P: 0.3903 0.2500 0.9117  8 Zr 2.66-2.78
P: 0.6097 0.7500 0.0883  8 Zr 2.66-2.78
P: 0.8903 0.2500 0.5883  8 Zr 2.66-2.78

First-principles (PBEsol) data for an optimized crystal structure of ZrBeRe, as listed in Alexandria.

Computed properties:
- Relative energy among the computed polymorphs: 85 meV/atom
- ΔE_f: 339 meV per atom
- Symmetry: P3m1, No. 156

Unit cell a=2.7780 b=2.7780 c=6.7750 alpha=90.00 beta=90.00 gamma=120.00
Last column: nearest neighbours and their distance in Å.
Sites, in units of the cell vectors:
Zr: 0.0000 0.0000 0.0000  6 Zr 2.78, 3 Be 2.82, 3 Re 3.02
Be: 0.6667 0.3333 0.6569  3 Re 2.48
Re: 0.3333 0.6667 0.3780  3 Be 2.48

First-principles (PBEsol) data for an optimized crystal structure of Al2SiHg, as listed in Alexandria.

Computed properties:
- Raw formation energy: 0.53 eV per formula unit
- Relative energy among the computed polymorphs: 14 meV/atom
- Symmetry: R-3m, No. 166

Unit cell a=7.8385 b=7.8385 c=7.8385 alpha=24.43 beta=24.43 gamma=24.43
Last column: nearest neighbours and their distance in Å.
Sites, in units of the cell vectors:
Al: 0.2439 0.2439 0.2439  3 Si 2.60, 3 Hg 2.80
Al: 0.7561 0.7561 0.7561  3 Si 2.60, 3 Hg 2.80
Si: 0.5000 0.5000 0.5000  6 Al 2.60
Hg: 0.0000 0.0000 0.0000  6 Al 2.80

First-principles (PBEsol) data for an optimized crystal structure of MgScPt, as listed in Alexandria.

Computed properties:
- ΔE_f: -628 meV per atom
- Symmetry: P3m1, No. 156

Unit cell a=4.5502 b=4.5502 c=2.9497 alpha=90.00 beta=90.00 gamma=120.00
Last column: nearest neighbours and their distance in Å.
Sites, in units of the cell vectors:
Mg: 0.0000 0.0000 0.0000  3 Pt 2.68, 3 Sc 2.93, 2 Mg 2.95
Sc: 0.6667 0.3333 0.4401  3 Pt 2.86, 6 Mg 2.93-3.10, 2 Sc 2.95
Pt: 0.3333 0.6667 0.8205  3 Mg 2.68, 3 Sc 2.86, 2 Pt 2.95

First-principles (PBEsol) data for an optimized crystal structure of Li2ZnNi, as listed in Alexandria.

Computed properties:
- ΔE_f: -23 meV per atom
- Symmetry: R-3m, No. 166

Unit cell a=8.8864 b=8.8864 c=8.8864 alpha=16.53 beta=16.53 gamma=16.53
Last column: nearest neighbours and their distance in Å.
Sites, in units of the cell vectors:
Li: 0.2432 0.2432 0.2432  3 Ni 2.49, 6 Li 2.55, 3 Zn 2.79
Li: 0.7568 0.7568 0.7568  3 Ni 2.49, 6 Li 2.55, 3 Zn 2.79
Zn: 0.0000 0.0000 0.0000  6 Zn 2.55, 6 Li 2.79
Ni: 0.5000 0.5000 0.5000  6 Li 2.49, 6 Ni 2.55

What did we get for DOS(E_F)? Answer: 1.07 0.62 0.83 1.59 0.00 0.52 0.89 0.58 0.51 0.93 0.79 0.44 0.85 0.52 states/eV/atom, in the order shown.